VASP calculation (PBE-GGA) on a relaxed structure of ZnCrH.

As for the offset from the most stable computed form: 4 meV per atom. Its final energy is -4.615 eV/atom.

Cell lengths 4.3830, 2.7594, 2.7594 Å; angles 120.00, 90.00, 90.00 degrees
Sites, in units of the cell vectors:
Zn: 0.6335 0.6667 0.3333
Cr: 0.1114 0.0000 0.0000
H: 0.2551 0.3333 0.6667